# 1
ReAgOs: optimized geometry, PBE.

Values from the calculation:
- ΔE to the lowest computed polymorph (eV/atom) = 0.7485
- energy of formation from the pure elements (eV per atom) = 1.0312
- total magnetization (μB per formula unit) = 0.00

```
ReAgOs
1.0
0.0000 3.0143 3.0143
3.0143 0.0000 3.0143
3.0143 3.0143 0.0000
Re Ag Os
1 1 1
direct
0.0000 0.0000 0.0000
0.5000 0.5000 0.5000
0.2500 0.2500 0.2500
```

# 2
KMn2RuPt: optimized geometry, PBE.

Values from the calculation:
- energy of formation from the pure elements (eV per atom) = 2.7835
- total magnetization (μB per formula unit) = 0.00

```
KMn2RuPt
1.0
4.1692 0.0000 0.0000
0.0000 4.1692 0.0000
0.0000 0.0000 4.4387
K Mn Ru Pt
1 2 1 1
direct
0.0000 0.0000 0.0000
0.0000 0.5000 0.0000
0.5000 0.0000 0.0000
0.0000 0.0000 0.5000
0.5000 0.5000 0.5000
```

# 3
Tm4ZnPt: optimized geometry, PBE.

Values from the calculation:
- ΔE to the lowest computed polymorph (eV/atom) = 0.1593
- energy of formation from the pure elements (eV per atom) = -0.4531
- total magnetization (μB per formula unit) = 0.00

```
Tm4ZnPt
1.0
4.8213 0.0000 0.0000
0.0000 4.8213 0.0000
0.0000 0.0000 6.8778
Tm Zn Pt
4 1 1
direct
0.0000 0.5000 0.2439
0.0000 0.5000 0.7561
0.5000 0.0000 0.2439
0.5000 0.0000 0.7561
0.0000 0.0000 0.5000
0.5000 0.5000 0.0000
```

# 4
MgCd6Ag5: optimized geometry, PBE.

Values from the calculation:
- ΔE to the lowest computed polymorph (eV/atom) = 0.0000
- energy of formation from the pure elements (eV per atom) = -0.0673
- total magnetization (μB per formula unit) = 0.00

```
MgCd6Ag5
1.0
-2.2006 4.0689 6.5779
2.2006 -4.0689 6.5779
2.2006 4.0689 -6.5779
Mg Cd Ag
1 6 5
direct
0.0000 0.0000 0.0000
0.0879 0.8320 0.2559
0.2606 0.5000 0.7606
0.4239 0.1680 0.2559
0.5761 0.8320 0.7441
0.7394 0.5000 0.2394
0.9121 0.1680 0.7441
0.1601 0.6601 0.5000
0.3283 0.3283 0.0000
0.5000 0.0000 0.5000
0.6717 0.6717 0.0000
0.8399 0.3399 0.5000
```

# 5
TbHo2NpAs4: optimized geometry, PBE.

Values from the calculation:
- energy of formation from the pure elements (eV per atom) = -1.3114
- total magnetization (μB per formula unit) = 3.77

```
TbHo2NpAs4
1.0
7.1131 0.0000 0.0000
0.0000 4.1040 0.0000
-2.3551 0.0000 6.7162
Tb Ho Np As
1 2 1 4
direct
0.0000 0.0000 0.0000
0.5000 0.0000 0.5000
0.5000 0.5000 0.0000
0.0000 0.5000 0.5000
0.2501 0.0000 0.7484
0.2503 0.5000 0.2531
0.7499 0.0000 0.2516
0.7497 0.5000 0.7469
```

# 6
TlZn2Cl: optimized geometry, PBE.

Values from the calculation:
- ΔE to the lowest computed polymorph (eV/atom) = 0.0841
- uncorrected formation energy (meV per atom) = -150
- total magnetization (μB per formula unit) = 0.00

```
TlZn2Cl
1.0
1.8680 -2.8879 0.0000
1.8680 2.8879 0.0000
0.0000 0.0000 8.8354
Tl Zn Cl
1 2 1
direct
0.0000 0.0000 0.0000
0.0000 0.0000 0.5357
0.5000 0.5000 0.7414
0.5000 0.5000 0.3542
```

# 7
LiAl2Ge2: optimized geometry, PBE.

Values from the calculation:
- ΔE to the lowest computed polymorph (eV/atom) = 0.0000
- energy of formation from the pure elements (eV per atom) = -0.0310
- total magnetization (μB per formula unit) = 0.00

```
LiAl2Ge2
1.0
-2.1765 2.1765 5.2946
2.1765 -2.1765 5.2946
2.1765 2.1765 -5.2946
Li Al Ge
1 2 2
direct
0.0000 0.0000 0.0000
0.2500 0.7500 0.5000
0.7500 0.2500 0.5000
0.3815 0.3815 0.0000
0.6185 0.6185 0.0000
```

# 8
K11Rb3: optimized geometry, PBE.

Values from the calculation:
- energy of formation from the pure elements (eV per atom) = 0.0276
- total magnetization (μB per formula unit) = 0.00

```
K11Rb3
1.0
-3.6473 8.5794 8.7498
3.6473 -8.5794 8.7498
3.6473 8.5794 -8.7498
K Rb
11 3
direct
0.0000 0.0000 0.0000
0.0882 0.8577 0.2305
0.1504 0.5000 0.6504
0.2459 0.3696 0.8763
0.3729 0.1423 0.2305
0.4933 0.3696 0.1237
0.5067 0.6304 0.8763
0.6271 0.8577 0.7695
0.7541 0.6304 0.1237
0.8496 0.5000 0.3496
0.9118 0.1423 0.7695
0.2189 0.7189 0.5000
0.5000 0.0000 0.5000
0.7811 0.2811 0.5000
```

# 9
CeGa4Au4: optimized geometry, PBE.

Values from the calculation:
- energy of formation from the pure elements (eV per atom) = -0.3693
- total magnetization (μB per formula unit) = 0.99

```
CeGa4Au4
1.0
6.2875 0.0000 0.0000
0.0000 6.2875 0.0000
0.0000 0.0000 9.0404
Ce Ga Au
2 8 8
direct
0.2500 0.7500 0.2500
0.7500 0.2500 0.7500
0.0351 0.2500 0.1518
0.2500 0.0351 0.6518
0.2500 0.4649 0.6518
0.4649 0.2500 0.1518
0.5351 0.7500 0.8482
0.7500 0.5351 0.3482
0.7500 0.9649 0.3482
0.9649 0.7500 0.8482
0.0218 0.2500 0.4422
0.2500 0.0218 0.9422
0.2500 0.4782 0.9422
0.4782 0.2500 0.4422
0.5218 0.7500 0.5578
0.7500 0.5218 0.0578
0.7500 0.9782 0.0578
0.9782 0.7500 0.5578
```

# 10
CaPr2Y6: optimized geometry, PBE.

Values from the calculation:
- energy of formation from the pure elements (eV per atom) = 0.1650
- total magnetization (μB per formula unit) = 0.00

```
CaPr2Y6
1.0
8.0874 -4.6051 0.0000
8.0874 4.6051 0.0000
-8.0796 0.0000 8.2313
Ca Pr Y
2 4 12
direct
0.0176 0.9824 0.7500
0.9824 0.0176 0.2500
0.1869 0.5212 0.1646
0.4788 0.8131 0.3354
0.5212 0.1869 0.6646
0.8131 0.4788 0.8354
0.1249 0.1886 0.6484
0.1886 0.1249 0.1484
0.1965 0.4940 0.5248
0.2433 0.5894 0.9116
0.4106 0.7567 0.5884
0.4940 0.1965 0.0248
0.5060 0.8035 0.9752
0.5894 0.2433 0.4116
0.7567 0.4106 0.0884
0.8035 0.5060 0.4752
0.8114 0.8751 0.8516
0.8751 0.8114 0.3516
```

# 11
BaMgTl4In2: optimized geometry, PBE.

Values from the calculation:
- energy of formation from the pure elements (eV per atom) = -0.1571
- total magnetization (μB per formula unit) = 0.00

```
BaMgTl4In2
1.0
2.7020 1.5600 9.5426
-2.7020 1.5600 9.5426
0.0000 -3.1200 9.5426
Ba Mg Tl In
1 1 4 2
direct
0.0000 0.0000 0.0000
0.5000 0.5000 0.5000
0.1318 0.1318 0.1318
0.3936 0.3936 0.3936
0.6063 0.6063 0.6063
0.8682 0.8682 0.8682
0.2467 0.2467 0.2467
0.7533 0.7533 0.7533
```

# 12
Te2AsW: optimized geometry, PBE.

Values from the calculation:
- uncorrected formation energy (meV per atom) = 752
- total magnetization (μB per formula unit) = 0.00

```
Te2AsW
1.0
2.8906 0.0000 0.0000
0.0000 4.5052 0.0000
-0.0846 0.0000 7.0902
Te As W
2 1 1
direct
0.2011 0.0000 0.2712
0.7989 0.0000 0.7288
0.0000 0.5000 0.0000
0.0000 0.5000 0.5000
```